Material: PrHoHg
Method: DFT, PBE
State: relaxed

Cell and atoms, written as CIF:
```
data_PrHoHg
_chemical_formula_sum 'Pr2 Ho2 Hg2'
_cell_length_a 4.8723
_cell_length_b 4.8722
_cell_length_c 7.7274
_cell_angle_alpha 90.00
_cell_angle_beta 90.00
_cell_angle_gamma 90.00
_symmetry_space_group_name_H-M 'P 1'
_symmetry_Int_Tables_number 1
_symmetry_space_group_name_Hall 'P 1'
loop_
_atom_site_label
_atom_site_type_symbol
_atom_site_fract_x
_atom_site_fract_y
_atom_site_fract_z
Pr1 Pr 0.8136 0.8665 0.5547
Pr2 Pr 0.3136 0.3665 0.2846
Ho1 Ho 0.8136 0.3665 0.9196
Ho2 Ho 0.3136 0.8665 0.9196
Hg1 Hg 0.8136 0.8665 0.1631
Hg2 Hg 0.3136 0.3664 0.6761
```

- Energy above the lowest structure with this stoichiometry: 0.0000 eV per atom
- Total moment: 0.0 μB/f.u.
- Raw total energy: -3.528 eV/atom
- Formation energy: -308 meV/atom
- Mass density: 9.17 Mg/m³
- Crystal system: tetragonal